This record from the Alexandria database describes a relaxed structure of Y4BiPd15. The functional is PBE.

Cell: 4.131 4.131 20.697 Å, 90.00 90.00 90.00°
Fractional coordinates of all 20 atoms:
Y 0.000 0.000 0.100
Y 0.000 0.000 0.298
Y 0.000 0.000 0.702
Y 0.000 0.000 0.900
Bi 0.000 0.000 0.500
Pd 0.000 0.500 0.000
Pd 0.000 0.500 0.201
Pd 0.000 0.500 0.401
Pd 0.000 0.500 0.599
Pd 0.000 0.500 0.799
Pd 0.500 0.000 0.000
Pd 0.500 0.000 0.201
Pd 0.500 0.000 0.401
Pd 0.500 0.000 0.599
Pd 0.500 0.000 0.799
Pd 0.500 0.500 0.100
Pd 0.500 0.500 0.303
Pd 0.500 0.500 0.500
Pd 0.500 0.500 0.697
Pd 0.500 0.500 0.900

## Properties
**DOS(E_F)**: 8.3 states/eV/cell
**ΔE_f**: -1414 kJ/mol of formula units
**VASP energy**: -0.449 Ry per atom


This record from the Alexandria database describes a relaxed structure of ScTi5Co6. The functional is PBE.

Cell: 7.351 7.351 7.351 Å, 146.48 131.80 59.98°
Fractional coordinates of all 12 atoms:
Sc 0.000 0.000 0.000
Ti 0.168 0.668 0.500
Ti 0.334 0.334 0.000
Ti 0.500 0.000 0.500
Ti 0.666 0.666 0.000
Ti 0.832 0.332 0.500
Co 0.084 0.828 0.256
Co 0.263 0.500 0.763
Co 0.428 0.172 0.256
Co 0.572 0.828 0.744
Co 0.737 0.500 0.237
Co 0.916 0.172 0.744

## Properties
**DOS(E_F)**: 12.9 states/eV/cell
**ΔE_f**: -435 kJ/mol of formula units
**VASP energy**: -0.569 Ry per atom


This record from the Alexandria database describes a relaxed structure of Pr2MgCu. The functional is PBE.

Cell: 3.704 9.325 6.493 Å, 90.00 106.49 90.00°
Fractional coordinates of all 8 atoms:
Pr 0.132 0.060 0.263
Pr 0.132 0.440 0.263
Pr 0.868 0.560 0.737
Pr 0.868 0.940 0.737
Mg 0.427 0.250 0.855
Mg 0.573 0.750 0.145
Cu 0.239 0.750 0.476
Cu 0.761 0.250 0.524

## Properties
**DOS(E_F)**: 7.9 states/eV/cell
**ΔE_f**: -26 kJ/mol of formula units
**Distance to the lowest polymorph of the same formula**: 34.0 meV/atom
**VASP energy**: -0.285 Ry per atom


This record from the Alexandria database describes a relaxed structure of AlGeAu5. The functional is PBE.

Cell: 5.497 5.497 9.077 Å, 98.20 98.20 88.59°
Fractional coordinates of all 14 atoms:
Al 0.044 0.956 0.750
Al 0.956 0.044 0.250
Ge 0.500 0.500 0.000
Ge 0.500 0.500 0.500
Au 0.085 0.241 0.012
Au 0.159 0.483 0.740
Au 0.241 0.085 0.512
Au 0.305 0.695 0.250
Au 0.483 0.159 0.240
Au 0.517 0.841 0.760
Au 0.695 0.305 0.750
Au 0.759 0.915 0.488
Au 0.841 0.517 0.260
Au 0.915 0.759 0.988

## Properties
**DOS(E_F)**: 4.7 states/eV/cell
**ΔE_f**: -39 kJ/mol of formula units
**VASP energy**: -0.264 Ry per atom